{
  "formula": "Rb2SiNiBr",
  "functional": "PBEsol",
  "state": "relaxed",
  "volume_a3_per_atom": 36.4,
  "sg": "P4/mmm (123)",
  "total_magnetization_mub_per_atom": 0.44,
  "dos_ef_per_ev_atom": 0.55,
  "formation_energy_uncorrected_mev_per_atom": 348,
  "lattice_angstrom": [[-2.6172, 0.0741, -3.4153], [1.3912, -6.2402, -1.2014], [-4.9731, -1.8347, 3.7711]],
  "species": ["Ni", "Si", "Br", "Rb", "Rb"],
  "fractional_positions": [[0.5000, 0.0000, 0.0000], [0.5000, 0.5000, 0.5000], [0.0000, 0.0000, 0.0000], [0.0000, 0.0000, 0.5000], [0.0000, 0.5000, 0.0000]]
}


{
  "formula": "NiRh2Br2",
  "functional": "PBEsol",
  "state": "relaxed",
  "volume_a3_per_atom": 17.7,
  "sg": "I4/mmm (139)",
  "total_magnetization_mub_per_atom": 0.00,
  "dos_ef_per_ev_atom": 1.15,
  "formation_energy_uncorrected_mev_per_atom": 690,
  "lattice_angstrom": [[-0.8615, -4.0902, -2.6343], [4.6524, 0.9151, 1.6909], [1.8295, -2.7513, 3.6735]],
  "species": ["Ni", "Rh", "Rh", "Br", "Br"],
  "fractional_positions": [[0.0000, 0.0000, 0.0000], [0.7500, 0.5000, 0.7500], [0.2500, 0.5000, 0.2500], [0.6977, 0.3954, 0.3023], [0.3023, 0.6046, 0.6977]]
}


{
  "formula": "Ni2RhBr",
  "functional": "PBEsol",
  "state": "relaxed",
  "volume_a3_per_atom": 13.2,
  "sg": "Imm2 (44)",
  "total_magnetization_mub_per_atom": 0.00,
  "dos_ef_per_ev_atom": 1.29,
  "formation_energy_uncorrected_mev_per_atom": 561,
  "lattice_angstrom": [[2.9220, 0.0000, 0.0000], [0.0000, 4.2355, 0.0000], [-1.4610, -2.1178, 4.2544]],
  "species": ["Br", "Ni", "Ni", "Rh"],
  "fractional_positions": [[0.2605, 0.7605, 0.5210], [0.9907, 0.9907, 0.9814], [0.7370, 0.2370, 0.4741], [0.5118, 0.5118, 0.0236]]
}


{
  "formula": "Ni2RhBr",
  "functional": "PBEsol",
  "state": "relaxed",
  "volume_a3_per_atom": 13.4,
  "sg": "Cmmm (65)",
  "total_magnetization_mub_per_atom": 0.49,
  "dos_ef_per_ev_atom": 1.30,
  "formation_energy_uncorrected_mev_per_atom": 560,
  "lattice_angstrom": [[2.8995, 0.0000, 0.0000], [0.0000, 4.4231, -0.0521], [0.0000, -1.4191, 4.1896]],
  "species": ["Br", "Ni", "Ni", "Rh"],
  "fractional_positions": [[0.5000, 0.5000, 0.5000], [0.0000, 0.5000, 0.0000], [0.0000, 0.0000, 0.5000], [0.5000, 0.0000, 0.0000]]
}


{
  "formula": "NiRhBr2",
  "functional": "PBEsol",
  "state": "relaxed",
  "volume_a3_per_atom": 17.8,
  "sg": "Immm (71)",
  "total_magnetization_mub_per_atom": 0.03,
  "dos_ef_per_ev_atom": 1.66,
  "formation_energy_uncorrected_mev_per_atom": 503,
  "lattice_angstrom": [[-0.8726, 2.0218, 2.4977], [-4.8299, 1.1134, -0.3691], [-2.4429, -2.5935, 3.4655]],
  "species": ["Br", "Br", "Ni", "Rh"],
  "fractional_positions": [[0.2342, 0.7658, 0.7658], [0.7658, 0.2342, 0.2342], [0.5000, 0.0000, 0.0000], [0.0000, 0.5000, 0.5000]]
}


{
  "formula": "NiRuRh2Br",
  "functional": "PBEsol",
  "state": "relaxed",
  "volume_a3_per_atom": 17.5,
  "sg": "P4/mmm (123)",
  "total_magnetization_mub_per_atom": 0.96,
  "dos_ef_per_ev_atom": 1.66,
  "formation_energy_uncorrected_mev_per_atom": 1615,
  "lattice_angstrom": [[4.3337, 0.0000, 0.0000], [0.0000, 4.4953, 0.0000], [0.0000, 0.0000, 4.4953]],
  "species": ["Ru", "Rh", "Rh", "Br", "Ni"],
  "fractional_positions": [[0.5000, 0.5000, 0.5000], [0.0000, 0.0000, 0.5000], [0.0000, 0.5000, 0.0000], [0.5000, 0.0000, 0.0000], [0.0000, 0.0000, 0.0000]]
}